The following is a PBE calculation of a relaxed structure of Ca2ZrRh3, from the Alexandria database.

a = 4.7751 Å, b = 14.2701 Å, c = 6.8112 Å
α = 90.00°, β = 90.00°, γ = 90.00°
With the nearest neighbours (Å) after each atom.
Space group Cmmm (No. 65)
Asymmetric unit:
Ca 0.0000 0.0000 0.0000  8 Rh 3.02-3.12, 4 Ca 3.36
Ca 0.0000 0.0000 0.5000  8 Rh 2.85-2.91
Ca 0.0000 0.3343 0.0000  8 Rh 2.97-3.05
Zr 0.0000 0.3350 0.5000  8 Rh 2.75-2.83
Rh 0.0000 0.1740 0.2779  3 Zr 2.75-2.83, 4 Ca 2.91-3.05, 1 Rh 3.03
Rh 0.0000 0.5000 0.2704  2 Zr 2.83, 6 Ca 2.85-3.02, 1 Rh 3.13

Properties
D(E_F) in states/eV/cell: 10.27
ΔH_f (0 K) in meV per atom: -561
Crystal system: orthorhombic

---

The following is a PBE calculation of a relaxed structure of InRhBr2, from the Alexandria database.

a = 7.2841 Å, b = 7.2841 Å, c = 7.2841 Å
α = 90.00°, β = 90.00°, γ = 90.00°
With the nearest neighbours (Å) after each atom.
Space group Fm-3m (No. 225)
Asymmetric unit:
In 0.0000 0.0000 0.0000  8 Br 3.15
Rh 0.0000 0.0000 0.5000  8 Br 3.15
Br 0.2500 0.2500 0.2500  4 In 3.15, 4 Rh 3.15

Properties
D(E_F) in states/eV/cell: 15.98
Polymorph energy (0 for the lowest one) in eV/atom: 0.5426
Crystal system: cubic
Formation energy without anion corrections in meV/atom: 267

---

The following is a PBE calculation of a relaxed structure of Na3Tl7Zn2, from the Alexandria database.

a = 4.3219 Å, b = 4.7990 Å, c = 16.7451 Å
α = 98.00°, β = 97.21°, γ = 90.06°
With the nearest neighbours (Å) after each atom.
Space group P-1 (No. 2)
Asymmetric unit:
Na 0.0000 0.0000 0.0000  12 Tl 3.23-3.60
Na 0.1720 0.1711 0.3422  3 Tl 3.26-3.51, 4 Zn 3.34-3.35
Tl 0.0799 0.5816 0.1582  2 Zn 3.05-3.06, 6 Tl 3.24-3.39
Tl 0.2667 0.2720 0.5405  1 Zn 2.80
Tl 0.4117 0.9098 0.8254  2 Zn 3.05, 4 Tl 3.24
Tl 0.5000 0.5000 0.0000  4 Na 3.23, 4 Tl 3.38-3.39
Zn 0.3544 0.3540 0.7105  5 Tl 2.80-3.06

Properties
D(E_F) in states/eV/cell: 3.93
ΔH_f (0 K) in meV per atom: 2
Crystal system: triclinic

---

The following is a PBE calculation of a relaxed structure of LaTeN2O, from the Alexandria database.

a = 4.1681 Å, b = 4.1681 Å, c = 4.1368 Å
α = 90.00°, β = 90.00°, γ = 90.00°
With the nearest neighbours (Å) after each atom.
Space group P4/mmm (No. 123)
Asymmetric unit:
La 0.0000 0.0000 0.0000  8 N 2.94, 4 O 2.95
Te 0.5000 0.5000 0.5000  2 O 2.07, 4 N 2.08
N 0.0000 0.5000 0.5000  2 Te 2.08
O 0.5000 0.5000 0.0000  2 Te 2.07

Properties
D(E_F) in states/eV/cell: 1.01
Crystal system: tetragonal
Formation energy without anion corrections in meV/atom: -544

---

The following is a PBE calculation of a relaxed structure of Pm2DySc2, from the Alexandria database.

a = 5.6739 Å, b = 11.4495 Å, c = 9.4964 Å
α = 90.00°, β = 90.00°, γ = 90.00°
With the nearest neighbours (Å) after each atom.
Space group Imma (No. 74)
Asymmetric unit:
Pm 0.0000 0.0754 0.1632  3 Pm 3.28-3.55, 3 Sc 3.46-3.53, 1 Dy 3.55
Dy 0.0000 0.2500 0.8542  6 Sc 3.25-3.35, 2 Dy 3.46, 2 Pm 3.55
Sc 0.0000 0.1149 0.5531  2 Sc 2.82-3.09

Properties
D(E_F) in states/eV/cell: 34.32
Polymorph energy (0 for the lowest one) in eV/atom: 0.0188
ΔH_f (0 K) in meV per atom: 181
Crystal system: orthorhombic

---

The following is a PBE calculation of a relaxed structure of Y2AlCrAg, from the Alexandria database.

a = 5.5229 Å, b = 5.5229 Å, c = 4.6568 Å
α = 90.00°, β = 90.00°, γ = 90.00°
With the nearest neighbours (Å) after each atom.
Space group P4/mmm (No. 123)
Asymmetric unit:
Y 0.0000 0.5000 0.0000  2 Al 2.76
Al 0.0000 0.0000 0.0000  2 Cr 2.33
Cr 0.0000 0.0000 0.5000  2 Al 2.33
Ag 0.5000 0.5000 0.5000  8 Y 3.61, 4 Cr 3.91

Properties
D(E_F) in states/eV/cell: 4.81
ΔH_f (0 K) in meV per atom: 547
Crystal system: tetragonal

---

The following is a PBE calculation of a relaxed structure of Ba2LiBeAu6, from the Alexandria database.

a = 6.6699 Å, b = 6.6914 Å, c = 7.1636 Å
α = 62.52°, β = 62.34°, γ = 60.42°
With the nearest neighbours (Å) after each atom.
Space group P-1 (No. 2)
Asymmetric unit:
Ba 0.2181 0.2190 0.3454  12 Au 3.51-3.68
Li 0.5000 0.5000 0.5000  6 Au 2.63-2.64
Be 0.0000 0.0000 0.0000  6 Au 2.38-2.40
Au 0.2431 0.2415 0.8341  1 Be 2.38, 1 Li 2.64
Au 0.2429 0.6814 0.8334  1 Be 2.40, 1 Li 2.63
Au 0.3179 0.7586 0.1669  1 Be 2.39, 1 Li 2.64

Properties
D(E_F) in states/eV/cell: 3.07
ΔH_f (0 K) in meV per atom: -532
Crystal system: triclinic

---

The following is a PBE calculation of a relaxed structure of Mg5In3F12, from the Alexandria database.

a = 13.7212 Å, b = 13.7212 Å, c = 13.7212 Å
α = 90.00°, β = 90.00°, γ = 90.00°
With the nearest neighbours (Å) after each atom.
Space group Ia-3d (No. 230)
Asymmetric unit:
Mg 0.0000 0.0000 0.0000  6 F 2.07
Mg 0.0000 0.2500 0.3750  4 F 1.91
In 0.0000 0.2500 0.1250  8 F 2.77-3.09
F 0.0296 0.1416 0.9575  2 Mg 1.91-2.07

Properties
D(E_F) in states/eV/cell: 33.71
Crystal system: cubic
Formation energy without anion corrections in meV/atom: -2782

---

The following is a PBE calculation of a relaxed structure of BaNa2Tl2, from the Alexandria database.

a = 5.8147 Å, b = 8.4266 Å, c = 7.3291 Å
α = 90.00°, β = 90.00°, γ = 90.00°
With the nearest neighbours (Å) after each atom.
Space group Cmmm (No. 65)
Asymmetric unit:
Ba 0.0000 0.0000 0.0000  4 Tl 3.53
Na 0.0000 0.1775 0.5000  3 Na 2.99-3.15, 2 Tl 3.18
Tl 0.0000 0.5000 0.2738  2 Na 3.18, 1 Tl 3.32, 2 Ba 3.53

Properties
D(E_F) in states/eV/cell: 7.24
Polymorph energy (0 for the lowest one) in eV/atom: 0.0909
ΔH_f (0 K) in meV per atom: -104
Crystal system: orthorhombic

---

The following is a PBE calculation of a relaxed structure of Ti2Si2Os, from the Alexandria database.

a = 6.1973 Å, b = 6.1973 Å, c = 3.8254 Å
α = 90.00°, β = 90.00°, γ = 90.00°
With the nearest neighbours (Å) after each atom.
Space group P4/mbm (No. 127)
Asymmetric unit:
Ti 0.1691 0.3309 0.0000  6 Si 2.57-2.70
Si 0.1356 0.6356 0.5000  1 Si 2.38, 2 Os 2.41, 2 Ti 2.57
Os 0.0000 0.0000 0.5000  4 Si 2.41

Properties
D(E_F) in states/eV/cell: 6.88
Crystal system: tetragonal
Formation energy without anion corrections in meV/atom: -743

---

The following is a PBE calculation of a relaxed structure of TbTl2OsO6, from the Alexandria database.

a = 6.4321 Å, b = 6.4321 Å, c = 5.7970 Å
α = 90.00°, β = 90.00°, γ = 120.00°
With the nearest neighbours (Å) after each atom.
Space group P-3m1 (No. 164)
Asymmetric unit:
Tb 0.0000 0.0000 0.0000  6 O 2.31
Tl 0.3333 0.6667 0.5382  3 O 2.58
Os 0.0000 0.0000 0.5000  6 O 1.92
O 0.1373 0.2747 0.2996  1 Os 1.92

Properties
D(E_F) in states/eV/cell: 4.62
Crystal system: trigonal
Formation energy without anion corrections in meV/atom: -1403

---

The following is a PBE calculation of a relaxed structure of NaGe, from the Alexandria database.

a = 9.8033 Å, b = 9.8033 Å, c = 16.1677 Å
α = 90.00°, β = 90.00°, γ = 90.00°
With the nearest neighbours (Å) after each atom.
Space group I4_1/acd (No. 142, origin choice 2)
Asymmetric unit:
Na 0.1251 0.1249 0.1250  6 Ge 3.17-3.28, 5 Na 3.37-3.47
Na 0.1303 0.0000 0.7500  8 Ge 3.21-3.29, 4 Na 3.37-3.44
Ge 0.0661 0.1334 0.9325  3 Ge 2.63

Properties
ΔH_f (0 K) in meV per atom: -163
Crystal system: tetragonal

---

The following is a PBE calculation of a relaxed structure of K2TaSi, from the Alexandria database.

a = 3.7348 Å, b = 6.0858 Å, c = 11.9755 Å
α = 90.00°, β = 90.00°, γ = 90.00°
With the nearest neighbours (Å) after each atom.
Space group Imm2 (No. 44)
Asymmetric unit:
K 0.0000 0.0000 0.0000  2 Si 3.48, 4 K 3.73-3.82, 4 Ta 3.85
K 0.0000 0.5000 0.1926  4 Si 3.63, 4 K 3.73-3.82, 2 Ta 3.78
Ta 0.0000 0.0000 0.3793  2 Si 2.46
Si 0.0000 0.5000 0.7454  2 Ta 2.46

Properties
D(E_F) in states/eV/cell: 4.92
Crystal system: orthorhombic
Formation energy without anion corrections in meV/atom: 815

---

The following is a PBE calculation of a relaxed structure of La3AsCl2, from the Alexandria database.

a = 4.3263 Å, b = 5.9928 Å, c = 12.4036 Å
α = 90.00°, β = 90.00°, γ = 90.00°
With the nearest neighbours (Å) after each atom.
Space group Immm (No. 71)
Asymmetric unit:
La 0.0000 0.0000 0.0000  4 Cl 2.97, 2 As 3.00
La 0.0000 0.0000 0.3360  2 As 2.97, 4 Cl 3.00-3.04
As 0.0000 0.5000 0.0000  6 La 2.97-3.00
Cl 0.0000 0.5000 0.3365  6 La 2.97-3.04

Properties
D(E_F) in states/eV/cell: 8.99
Polymorph energy (0 for the lowest one) in eV/atom: 0.0077
Crystal system: orthorhombic
Formation energy without anion corrections in meV/atom: -1612

---

The following is a PBE calculation of a relaxed structure of CoRh, from the Alexandria database.

a = 2.6381 Å, b = 3.9367 Å, c = 7.5596 Å
α = 90.00°, β = 99.97°, γ = 90.00°
With the nearest neighbours (Å) after each atom.
Space group Pm (No. 6)
Asymmetric unit:
Co 0.0000 0.0000 0.0000  3 Co 2.32-2.43, 4 Rh 2.59
Co 0.0819 0.5000 0.1648  2 Co 2.32, 1 Rh 2.53
Co 0.8360 0.0000 0.6731  3 Co 2.43-2.64, 5 Rh 2.68-2.69
Rh 0.2515 0.5000 0.5052  5 Co 2.53-2.68, 7 Rh 2.64-2.77
Rh 0.4301 0.5000 0.8594  10 Co 2.59-2.75, 3 Rh 2.64
Rh 0.6548 0.0000 0.3116  7 Co 2.61-2.69, 6 Rh 2.64-2.77

Properties
D(E_F) in states/eV/cell: 8.13
ΔH_f (0 K) in meV per atom: 79
Crystal system: monoclinic

---

The following is a PBE calculation of a relaxed structure of CrTcH, from the Alexandria database.

a = 2.6924 Å, b = 2.6924 Å, c = 8.3941 Å
α = 90.00°, β = 90.00°, γ = 90.00°
With the nearest neighbours (Å) after each atom.
Space group I4mm (No. 107)
Asymmetric unit:
Cr 0.0000 0.0000 0.0000  4 H 1.91
Tc 0.0000 0.0000 0.7319  1 H 2.07, 1 Cr 2.25
H 0.0000 0.0000 0.4856  4 Cr 1.91, 1 Tc 2.07

Properties
D(E_F) in states/eV/cell: 6.20
Polymorph energy (0 for the lowest one) in eV/atom: 0.3232
Crystal system: tetragonal

---

The following is a PBE calculation of a relaxed structure of LiLa2Rh2, from the Alexandria database.

a = 7.8208 Å, b = 7.8208 Å, c = 3.8060 Å
α = 90.00°, β = 90.00°, γ = 90.00°
With the nearest neighbours (Å) after each atom.
Space group P4/mbm (No. 127)
Asymmetric unit:
Li 0.0000 0.0000 0.0000  4 Rh 3.03
La 0.1638 0.3362 0.5000  6 Rh 2.90-3.04
Rh 0.1381 0.6381 0.0000  6 La 2.90-3.04, 2 Li 3.03, 1 Rh 3.06

Properties
D(E_F) in states/eV/cell: 11.52
Polymorph energy (0 for the lowest one) in eV/atom: 0.0431
ΔH_f (0 K) in meV per atom: -547
Crystal system: tetragonal

---

The following is a PBE calculation of a relaxed structure of Cs2SmIO6, from the Alexandria database.

a = 6.8449 Å, b = 6.8449 Å, c = 6.0060 Å
α = 90.00°, β = 90.00°, γ = 120.00°
With the nearest neighbours (Å) after each atom.
Space group P-3m1 (No. 164)
Asymmetric unit:
Cs 0.3333 0.6667 0.3774  3 O 3.08
Sm 0.0000 0.0000 0.0000  6 O 2.39
I 0.0000 0.0000 0.5000  6 O 1.93
O 0.1290 0.2581 0.6951  1 I 1.93

Properties
D(E_F) in states/eV/cell: 0.00
Crystal system: trigonal
Formation energy without anion corrections in meV/atom: -1515

---

The following is a PBE calculation of a relaxed structure of BaCrRu4, from the Alexandria database.

a = 7.6147 Å, b = 7.6147 Å, c = 7.6147 Å
α = 90.00°, β = 90.00°, γ = 90.00°
With the nearest neighbours (Å) after each atom.
Space group F-43m (No. 216)
Asymmetric unit:
Ba 0.0000 0.0000 0.0000  12 Ru 3.16, 4 Cr 3.30
Cr 0.2500 0.2500 0.7500  12 Ru 3.15, 4 Ba 3.30
Ru 0.1237 0.1237 0.3763  6 Ru 2.66-2.72

Properties
D(E_F) in states/eV/cell: 38.44
ΔH_f (0 K) in meV per atom: 762
Crystal system: cubic

---

The following is a PBE calculation of a relaxed structure of PuB4Rh6, from the Alexandria database.

a = 8.3288 Å, b = 7.7689 Å, c = 5.5016 Å
α = 90.00°, β = 129.32°, γ = 90.00°
With the nearest neighbours (Å) after each atom.
Space group Cm (No. 8)
Asymmetric unit:
Pu 0.0000 0.0000 0.0000  4 B 2.72-2.86, 9 Rh 2.85-2.96
B 0.2893 0.5000 0.2460  5 Rh 2.16-2.17
B 0.3906 0.0000 0.6228  2 B 1.99, 4 Rh 2.18-2.21
B 0.4099 0.1585 0.9240  1 B 1.99, 1 Rh 2.18
Rh 0.1217 0.0000 0.6154  4 B 2.16-2.24
Rh 0.1511 0.3187 0.8632  4 B 2.16-2.32
Rh 0.2414 0.2790 0.4354  3 B 2.17-2.38
Rh 0.4369 0.0000 0.2754  3 B 2.18

Properties
D(E_F) in states/eV/cell: 28.24
ΔH_f (0 K) in meV per atom: -243
Crystal system: monoclinic

---

no.,energy (eV per formula unit)
1,-37.97
2,-12.37
3,-23.05
4,-32.40
5,-25.86
6,-26.41
7,-34.47
8,-94.29
9,-9.81
10,-41.58
11,-64.37
12,-6.26
13,-16.21
14,-32.80
15,-14.30
16,-22.10
17,-29.21
18,-52.87
19,-44.08
20,-87.82